Entry 1:
A plane-wave DFT calculation with GGA-PBE was carried out for a relaxed structure of YZr.

a = 6.7937 Å, b = 5.3749 Å, c = 9.1156 Å
α = 90.00°, β = 100.30°, γ = 90.00°
Positions (direct):
1 Y 0.1429 0.2500 0.0607
2 Y 0.1987 0.7500 0.2878
3 Y 0.3574 0.7500 0.9203
4 Y 0.6426 0.2500 0.0797
5 Y 0.8013 0.2500 0.7122
6 Y 0.8571 0.7500 0.9393
7 Zr 0.0328 0.7500 0.6031
8 Zr 0.2967 0.2500 0.6947
9 Zr 0.4821 0.2500 0.3991
10 Zr 0.5179 0.7500 0.6009
11 Zr 0.7033 0.7500 0.3053
12 Zr 0.9672 0.2500 0.3969

Output
- energy relative to the elements (eV per atom) = 0.07
- energy above the most stable polymorph in this dataset (meV/atom) = 22


Entry 2:
A plane-wave DFT calculation with GGA-PBE was carried out for a relaxed structure of YZr2.

a = 8.9335 Å, b = 8.9335 Å, c = 5.3039 Å
α = 90.00°, β = 90.00°, γ = 158.51°
Positions (direct):
1 Y 0.0579 0.9421 0.7500
2 Y 0.9421 0.0579 0.2500
3 Zr 0.2745 0.7255 0.2500
4 Zr 0.3770 0.6230 0.7500
5 Zr 0.6230 0.3770 0.2500
6 Zr 0.7255 0.2745 0.7500

Output
- energy relative to the elements (eV per atom) = 0.05


Entry 3:
A plane-wave DFT calculation with GGA-PBE was carried out for a relaxed structure of YZr.

a = 5.3348 Å, b = 6.9656 Å, c = 5.9027 Å
α = 90.00°, β = 90.00°, γ = 90.00°
Positions (direct):
1 Y 0.0000 0.0000 0.0000
2 Y 0.0000 0.2663 0.5208
3 Y 0.0000 0.7337 0.5208
4 Y 0.5000 0.0000 0.3608
5 Zr 0.0000 0.5000 0.0262
6 Zr 0.5000 0.2812 0.8587
7 Zr 0.5000 0.5000 0.3241
8 Zr 0.5000 0.7188 0.8587

Output
- energy relative to the elements (eV per atom) = 0.07
- energy above the most stable polymorph in this dataset (meV/atom) = 23


Entry 4:
A plane-wave DFT calculation with GGA-PBE was carried out for a relaxed structure of YZr.

a = 5.3353 Å, b = 13.8538 Å, c = 5.9114 Å
α = 90.00°, β = 90.00°, γ = 90.00°
Positions (direct):
1 Y 0.2500 0.0014 0.1798
2 Y 0.2500 0.1303 0.6598
3 Y 0.2500 0.3697 0.6598
4 Y 0.2500 0.4986 0.1798
5 Y 0.7500 0.5014 0.8202
6 Y 0.7500 0.6303 0.3402
7 Y 0.7500 0.8697 0.3402
8 Y 0.7500 0.9986 0.8202
9 Zr 0.2500 0.2500 0.1562
10 Zr 0.2500 0.6412 0.6780
11 Zr 0.2500 0.7500 0.1427
12 Zr 0.2500 0.8588 0.6780
13 Zr 0.7500 0.1412 0.3220
14 Zr 0.7500 0.2500 0.8573
15 Zr 0.7500 0.3588 0.3220
16 Zr 0.7500 0.7500 0.8438

Output
- energy relative to the elements (eV per atom) = 0.06
- energy above the most stable polymorph in this dataset (meV/atom) = 15


Entry 5:
A plane-wave DFT calculation with GGA-PBE was carried out for a relaxed structure of YZr.

a = 5.9179 Å, b = 5.3800 Å, c = 6.8176 Å
α = 90.00°, β = 90.00°, γ = 90.00°
Positions (direct):
1 Y 0.0904 0.2500 0.1257
2 Y 0.4096 0.7500 0.6257
3 Y 0.5904 0.2500 0.3743
4 Y 0.9096 0.7500 0.8743
5 Zr 0.0702 0.2500 0.6226
6 Zr 0.4298 0.7500 0.1226
7 Zr 0.5702 0.2500 0.8774
8 Zr 0.9298 0.7500 0.3774

Output
- energy relative to the elements (eV per atom) = 0.09
- energy above the most stable polymorph in this dataset (meV/atom) = 46


Entry 6:
A plane-wave DFT calculation with GGA-PBE was carried out for a relaxed structure of YZr.

a = 5.3409 Å, b = 13.6145 Å, c = 6.0303 Å
α = 90.00°, β = 90.00°, γ = 90.00°
Positions (direct):
1 Y 0.2500 0.1043 0.1301
2 Y 0.2500 0.2500 0.6603
3 Y 0.2500 0.3957 0.1301
4 Y 0.2500 0.7500 0.7013
5 Y 0.7500 0.2500 0.2987
6 Y 0.7500 0.6043 0.8699
7 Y 0.7500 0.7500 0.3397
8 Y 0.7500 0.8957 0.8699
9 Zr 0.2500 0.0069 0.6340
10 Zr 0.2500 0.4931 0.6340
11 Zr 0.2500 0.6285 0.2146
12 Zr 0.2500 0.8715 0.2146
13 Zr 0.7500 0.1285 0.7854
14 Zr 0.7500 0.3715 0.7854
15 Zr 0.7500 0.5069 0.3660
16 Zr 0.7500 0.9931 0.3660

Output
- energy relative to the elements (eV per atom) = 0.06
- energy above the most stable polymorph in this dataset (meV/atom) = 19


Entry 7:
A plane-wave DFT calculation with GGA-PBE was carried out for a relaxed structure of YZr.

a = 6.9031 Å, b = 6.9031 Å, c = 5.3204 Å
α = 90.00°, β = 90.00°, γ = 120.00°
Positions (direct):
1 Y 0.0000 0.0000 0.0000
2 Y 0.3405 0.1702 0.5000
3 Y 0.8298 0.1702 0.5000
4 Y 0.8298 0.6595 0.5000
5 Zr 0.0299 0.5150 0.0000
6 Zr 0.3333 0.6667 0.5000
7 Zr 0.4850 0.5150 0.0000
8 Zr 0.4850 0.9701 0.0000

Output
- energy relative to the elements (eV per atom) = 0.09
- energy above the most stable polymorph in this dataset (meV/atom) = 41


Entry 8:
A plane-wave DFT calculation with GGA-PBE was carried out for a relaxed structure of YZr2.

a = 8.8492 Å, b = 8.8492 Å, c = 5.3087 Å
α = 90.00°, β = 90.00°, γ = 158.29°
Positions (direct):
1 Y 0.1114 0.8886 0.7500
2 Y 0.8886 0.1114 0.2500
3 Zr 0.2194 0.7806 0.2500
4 Zr 0.4445 0.5555 0.7500
5 Zr 0.5555 0.4445 0.2500
6 Zr 0.7806 0.2194 0.7500

Output
- energy relative to the elements (eV per atom) = 0.08


Entry 9:
A plane-wave DFT calculation with GGA-PBE was carried out for a relaxed structure of YZr2.

a = 5.8911 Å, b = 5.8911 Å, c = 5.2625 Å
α = 90.00°, β = 90.00°, γ = 58.24°
Positions (direct):
1 Y 0.1843 0.8157 0.7500
2 Y 0.8157 0.1843 0.2500
3 Zr 0.1641 0.4755 0.2500
4 Zr 0.4755 0.1641 0.7500
5 Zr 0.5245 0.8359 0.2500
6 Zr 0.8359 0.5245 0.7500

Output
- energy relative to the elements (eV per atom) = 0.05


Entry 10:
A plane-wave DFT calculation with GGA-PBE was carried out for a relaxed structure of YZr2.

a = 5.2733 Å, b = 10.0466 Å, c = 5.8172 Å
α = 90.00°, β = 90.00°, γ = 90.00°
Positions (direct):
1 Y 0.2500 0.0853 0.0890
2 Y 0.2500 0.4147 0.0890
3 Y 0.7500 0.5853 0.9110
4 Y 0.7500 0.9147 0.9110
5 Zr 0.2500 0.2500 0.5892
6 Zr 0.2500 0.5911 0.5684
7 Zr 0.2500 0.7500 0.1010
8 Zr 0.2500 0.9089 0.5684
9 Zr 0.7500 0.0911 0.4316
10 Zr 0.7500 0.2500 0.8990
11 Zr 0.7500 0.4089 0.4316
12 Zr 0.7500 0.7500 0.4108

Output
- energy relative to the elements (eV per atom) = 0.07


Entry 11:
A plane-wave DFT calculation with GGA-PBE was carried out for a relaxed structure of YZr.

a = 5.3583 Å, b = 9.1226 Å, c = 9.1226 Å
α = 142.21°, β = 90.00°, γ = 90.00°
Positions (direct):
1 Y 0.0000 0.0000 0.0000
2 Y 0.0000 0.2341 0.8436
3 Y 0.0000 0.8436 0.2341
4 Y 0.5000 0.4875 0.8671
5 Y 0.5000 0.8671 0.4875
6 Zr 0.0000 0.4166 0.5982
7 Zr 0.0000 0.5982 0.4166
8 Zr 0.5000 0.1154 0.2993
9 Zr 0.5000 0.2993 0.1154
10 Zr 0.5000 0.6774 0.6774

Output
- energy relative to the elements (eV per atom) = 0.06
- energy above the most stable polymorph in this dataset (meV/atom) = 18